Below is crystalline AlInRu2 at its relaxed geometry, with properties calculated at the PBE-GGA level.

ΔE_f: 2.1 kcal/mol of atoms
crystal system: trigonal
symmetry: R3m
mass density: 8.79 g cm⁻³
N(E_F): 3.19 states/eV per cell
final energy: -6.166 eV per atom

```
AlInRu2
1.0
-5.168 2.035 7.064
-4.863 -0.831 7.511
-2.824 1.020 8.470
Al In Ru
1 1 2
Direct
0.509 0.509 0.509 Al
0.747 0.747 0.747 In
0.251 0.251 0.251 Ru
0.993 0.993 0.993 Ru
```

=====

Below is crystalline AlIn2Ru at its relaxed geometry, with properties calculated at the PBE-GGA level.

ΔE_f: 3.4 kcal/mol of atoms
crystal system: monoclinic
symmetry: C2/m
mass density: 8.09 g cm⁻³
N(E_F): 2.10 states/eV per cell
final energy: -4.478 eV per atom

```
AlIn2Ru
1.0
-0.370 -2.449 5.988
4.146 2.200 -1.464
-0.150 1.976 2.570
In Al Ru
2 1 1
Direct
0.000 0.000 0.000 In
0.500 0.000 0.500 In
0.500 0.500 0.000 Al
0.000 0.500 0.500 Ru
```

=====

Below is crystalline AlInRu at its relaxed geometry, with properties calculated at the PBE-GGA level.

ΔE_f: -3.1 kcal/mol of atoms
crystal system: hexagonal
symmetry: P-6m2
mass density: 7.84 g cm⁻³
N(E_F): 1.30 states/eV per cell
final energy: -5.385 eV per atom

```
AlInRu
1.0
4.269 0.000 0.000
-2.134 3.697 0.000
0.000 0.000 3.260
In Ru Al
1 1 1
Direct
0.667 0.333 0.333 In
0.333 0.667 0.833 Ru
0.000 0.000 0.833 Al
```